(1)
TcIrC3 PBEsol optimized geometry; calculated formation energy = 2.428 eV/atom; SG = Pm-3m (221)
1.0
3.906 0.000 0.000
0.000 3.906 0.000
0.000 0.000 3.906
Tc C Ir
1 3 1
Cartesian
1.953 1.953 1.953 Tc
0.000 1.953 0.000 C
1.953 0.000 0.000 C
0.000 0.000 1.953 C
0.000 0.000 0.000 Ir

---

(2)
TeIrC3 PBEsol optimized geometry; uncorrected formation energy = 3311 meV per atom; SG = Pm-3m (221)
1.0
-3.975 0.000 -0.783
-0.399 -3.485 2.028
-0.674 2.067 3.419
C Te Ir
3 1 1
Cartesian
-1.988 0.000 -0.392 C
-0.200 -1.742 1.014 C
-0.337 1.033 1.709 C
0.000 0.000 0.000 Te
-2.524 -0.709 2.332 Ir

---

Ordered magnetic moment results: 1.7, 0.0; unit μB per cell.